{"formula": "ZrPd6Au8", "functional": "PBE", "state": "relaxed", "spacegroup": "P-3 (147)", "mass_density_g_cm3": 13.5, "volume_a3_per_atom": 18.96, "dft_energy_ev_per_cell": -67.71, "lattice_angstrom": [[7.672, 0.000, 0.000], [-3.836, 6.644, 0.000], [0.000, 0.000, 5.579]], "species": ["Zr", "Pd", "Pd", "Pd", "Pd", "Pd", "Pd", "Au", "Au", "Au", "Au", "Au", "Au", "Au", "Au"], "fractional_positions": [[0.000, 0.000, 0.000], [0.036, 0.682, 0.130], [0.318, 0.354, 0.130], [0.354, 0.036, 0.870], [0.646, 0.964, 0.130], [0.682, 0.646, 0.870], [0.964, 0.318, 0.870], [0.022, 0.691, 0.627], [0.309, 0.331, 0.627], [0.331, 0.022, 0.373], [0.333, 0.667, 0.859], [0.667, 0.333, 0.141], [0.669, 0.978, 0.627], [0.691, 0.669, 0.373], [0.978, 0.309, 0.373]]}